Here is an optimized crystal structure of NiBH2 from Alexandria via LeMat-Bulk. Energies are from PBEsol.

a b c (Å): 2.928 2.928 11.107
angles (deg): 90.00 90.00 90.00
Positions (direct):
Ni1 0.000 0.000 0.000
Ni2 0.000 0.500 0.250
Ni3 0.500 0.000 0.750
Ni4 0.500 0.500 0.500
B1 0.000 0.000 0.500
B2 0.000 0.500 0.750
B3 0.500 0.000 0.250
B4 0.500 0.500 0.000
H1 0.227 0.250 0.625
H2 0.250 0.727 0.875
H3 0.250 0.773 0.375
H4 0.273 0.250 0.125
H5 0.727 0.750 0.125
H6 0.750 0.227 0.375
H7 0.750 0.273 0.875
H8 0.773 0.750 0.625

space-group type: I-42d
calculated total energy: -17.7 eV per formula unit